Below is a relaxed structure of Cs2Cd3In4Bi, with properties calculated at the PBE-GGA level.

Cell: 5.168 5.168 12.821 Å, 90.00 90.00 90.00°
Fractional positions:
Cd (0.000, 0.000, 0.500)
Cd (0.500, 0.000, 0.875)
Cd (0.000, 0.500, 0.125)
Bi (0.500, 0.500, 0.500)
Cs (0.500, 0.000, 0.249)
Cs (0.000, 0.500, 0.751)
In (0.500, 0.000, 0.638)
In (0.000, 0.500, 0.362)
In (0.500, 0.500, 0.000)
In (0.000, 0.000, 0.000)

* mass density: 6.2 g/cm3
* calculated formation energy: -0.11 eV/atom
* total magnetic moment: 0.0 Bohr magnetons per cell
* raw total energy: -2.036 eV per atom
* space group: P-4m2